First-principles (GGA+U) data for a geometry-optimized NaMg2V3O10 structure, as listed in the Alexandria database.

Values from the calculation:
spin magnetization: 0.2 μB/cell
total DFT energy (no corrections): -221.8 eV/cell

a = 6.852 Å, b = 6.873 Å, c = 9.778 Å
α = 105.13°, β = 100.31°, γ = 101.48°
Positions (direct):
Na: 0.145 0.019 0.369
Na: 0.855 0.981 0.631
Mg: 0.256 0.431 0.705
Mg: 0.292 0.817 0.982
Mg: 0.708 0.183 0.018
Mg: 0.744 0.569 0.295
V: 0.268 0.338 0.046
V: 0.273 0.572 0.387
V: 0.386 0.952 0.694
V: 0.614 0.048 0.306
V: 0.727 0.428 0.613
V: 0.732 0.662 0.954
O: 0.020 0.242 0.039
O: 0.056 0.633 0.323
O: 0.226 0.395 0.478
O: 0.227 0.108 0.657
O: 0.273 0.756 0.758
O: 0.288 0.498 0.934
O: 0.370 0.131 0.986
O: 0.371 0.914 0.208
O: 0.403 0.481 0.242
O: 0.430 0.808 0.520
O: 0.570 0.192 0.480
O: 0.597 0.519 0.758
O: 0.629 0.086 0.792
O: 0.630 0.869 0.014
O: 0.712 0.502 0.066
O: 0.727 0.244 0.242
O: 0.773 0.892 0.343
O: 0.774 0.605 0.522
O: 0.944 0.367 0.677
O: 0.980 0.758 0.961